No. 1
## LaHo2Rh (PBE)

Data for an optimized crystal structure of LaHo2Rh.

a = 3.922 Å, b = 3.922 Å, c = 9.403 Å
α = 77.96°, β = 77.96°, γ = 60.00°
Sites, in units of the cell vectors:
La  0.502  0.502  0.495
Ho  0.277  0.277  0.170
Ho  0.055  0.055  0.834
Rh  0.666  0.666  0.001

Relative energy among the computed polymorphs ... 0.135 eV/atom

No. 2
## LaHo3Rh8 (PBE)

Data for an optimized crystal structure of LaHo3Rh8.

a = 5.354 Å, b = 5.354 Å, c = 8.779 Å
α = 90.00°, β = 90.00°, γ = 120.00°
Sites, in units of the cell vectors:
Rh  0.333  0.667  0.000
Rh  0.165  0.330  0.246
Rh  0.502  0.004  0.755
Rh  0.670  0.835  0.246
Rh  0.333  0.667  0.498
Rh  0.165  0.835  0.246
Rh  0.502  0.498  0.755
Rh  0.996  0.498  0.755
La  0.000  0.000  0.568
Ho  0.000  0.000  0.935
Ho  0.667  0.333  0.065
Ho  0.667  0.333  0.430

Electronic total energy ... -7.15 eV/atom

No. 3
## LaHo4Rh5 (PBE)

Data for an optimized crystal structure of LaHo4Rh5.

a = 3.400 Å, b = 3.400 Å, c = 17.681 Å
α = 90.00°, β = 90.00°, γ = 90.00°
Sites, in units of the cell vectors:
Rh  0.500  0.500  0.888
Rh  0.500  0.500  0.305
Rh  0.500  0.500  0.112
Rh  0.500  0.500  0.695
Rh  0.500  0.500  0.500
Ho  0.000  0.000  0.598
Ho  0.000  0.000  0.206
Ho  0.000  0.000  0.402
Ho  0.000  0.000  0.794
La  0.000  0.000  0.000

Electronic total energy ... -6.84 eV/atom

No. 4
## LaHoRh (PBE)

Data for an optimized crystal structure of LaHoRh.

a = 6.336 Å, b = 4.102 Å, c = 4.102 Å
α = 120.00°, β = 90.00°, γ = 90.00°
Sites, in units of the cell vectors:
La  0.760  0.667  0.333
Rh  0.007  0.000  0.000
Ho  0.233  0.333  0.667

Relative energy among the computed polymorphs ... 0.085 eV/atom

No. 5
## LaHoRh (PBE)

Data for an optimized crystal structure of LaHoRh.

a = 7.034 Å, b = 6.581 Å, c = 7.835 Å
α = 91.35°, β = 90.00°, γ = 90.00°
Sites, in units of the cell vectors:
Rh  0.755  0.998  0.857
Rh  0.745  0.498  0.357
Rh  0.245  0.002  0.143
Rh  0.255  0.502  0.643
Ho  0.077  0.758  0.885
Ho  0.423  0.258  0.385
Ho  0.577  0.742  0.615
Ho  0.923  0.242  0.115
La  0.918  0.259  0.614
La  0.082  0.741  0.386
La  0.582  0.759  0.114
La  0.418  0.241  0.886

Relative energy among the computed polymorphs ... 0.039 eV/atom

No. 6
## LaHoRuRh (PBE)

Data for an optimized crystal structure of LaHoRuRh.

a = 4.932 Å, b = 4.932 Å, c = 4.932 Å
α = 60.00°, β = 60.00°, γ = 60.00°
Sites, in units of the cell vectors:
Ru  0.750  0.750  0.750
La  0.000  0.000  0.000
Ho  0.500  0.500  0.500
Rh  0.250  0.250  0.250

Electronic total energy ... -7.01 eV/atom

No. 7
## LaHoSb2Rh5 (PBE)

Data for an optimized crystal structure of LaHoSb2Rh5.

a = 4.491 Å, b = 4.491 Å, c = 8.987 Å
α = 90.00°, β = 90.00°, γ = 90.00°
Sites, in units of the cell vectors:
Sb  0.500  0.500  0.844
Sb  0.500  0.500  0.156
Rh  0.000  0.500  0.279
Rh  0.500  0.500  0.500
Rh  0.500  0.000  0.279
Rh  0.500  0.000  0.721
Rh  0.000  0.500  0.721
Ho  0.000  0.000  0.000
La  0.000  0.000  0.500

Uncorrected formation energy ... -0.520 eV per atom

No. 8
## La2HoSb3Rh4 (PBE)

Data for an optimized crystal structure of La2HoSb3Rh4.

a = 4.460 Å, b = 4.460 Å, c = 11.312 Å
α = 90.00°, β = 90.00°, γ = 90.00°
Sites, in units of the cell vectors:
Rh  0.500  0.500  0.000
Rh  0.000  0.500  0.357
Rh  0.000  0.000  0.000
Rh  0.500  0.000  0.643
La  0.500  0.000  0.231
La  0.000  0.500  0.769
Sb  0.000  0.000  0.500
Sb  0.000  0.500  0.128
Sb  0.500  0.000  0.872
Ho  0.500  0.500  0.500

Uncorrected formation energy ... -0.914 eV per atom

No. 9
## La2HoSn3Rh4 (PBE)

Data for an optimized crystal structure of La2HoSn3Rh4.

a = 4.449 Å, b = 4.449 Å, c = 11.463 Å
α = 90.00°, β = 90.00°, γ = 90.00°
Sites, in units of the cell vectors:
Rh  0.000  0.000  0.000
Rh  0.500  0.000  0.646
Rh  0.500  0.500  0.000
Rh  0.000  0.500  0.354
Sn  0.500  0.000  0.875
Sn  0.000  0.500  0.125
Sn  0.000  0.000  0.500
La  0.000  0.500  0.764
La  0.500  0.000  0.236
Ho  0.500  0.500  0.500

Electronic total energy ... -6.38 eV/atom

No. 10
## LaHo2Ru (PBE)

Data for an optimized crystal structure of LaHo2Ru.

a = 3.438 Å, b = 3.438 Å, c = 9.217 Å
α = 90.00°, β = 90.00°, γ = 90.00°
Sites, in units of the cell vectors:
Ho  0.000  0.000  0.176
Ho  0.000  0.000  0.824
La  0.500  0.500  0.500
Ru  0.500  0.500  0.000

Relative energy among the computed polymorphs ... 0.058 eV/atom

No. 11
## La3HoRu (PBE)

Data for an optimized crystal structure of La3HoRu.

a = 5.576 Å, b = 5.576 Å, c = 5.576 Å
α = 90.00°, β = 90.00°, γ = 90.00°
Sites, in units of the cell vectors:
La  0.000  0.000  0.500
La  0.000  0.500  0.000
La  0.500  0.000  0.000
Ho  0.500  0.500  0.500
Ru  0.000  0.000  0.000

Electronic total energy ... -5.78 eV/atom

No. 12
## LaHo2Ru (PBE)

Data for an optimized crystal structure of LaHo2Ru.

a = 3.517 Å, b = 3.517 Å, c = 10.940 Å
α = 80.75°, β = 80.75°, γ = 60.00°
Sites, in units of the cell vectors:
Ru  0.500  0.500  0.500
La  0.000  0.000  0.000
Ho  0.891  0.891  0.326
Ho  0.109  0.109  0.674

Relative energy among the computed polymorphs ... 0.355 eV/atom